Record 1
This record from Alexandria describes YAlSb2As after structural relaxation. The functional is PBE-GGA.

Its raw total energy is -4.142 eV per atom. The density of states at the Fermi level is 4.9 states/eV per cell. Its energy relative to the elements, uncorrected is 0.478 eV/atom.

The structure belongs to space group P4/mmm (No. 123); the cell edges are 5.790, 5.790 and 5.394 Å and the angles 90.00°, 90.00° and 90.00°. The distinct sites, in fractional coordinates, are Y at (0.000, 0.000, 0.000), Al at (0.500, 0.500, 0.500), Sb at (0.000, 0.500, 0.000) and As at (0.000, 0.000, 0.500).

***

Record 2
This record from Alexandria describes ScAlAs2 after structural relaxation. The functional is PBE-GGA.

Its raw total energy is -5.222 eV per atom. The density of states at the Fermi level is 4.8 states/eV per cell.

The structure belongs to space group I4/mmm (No. 139); the cell edges are 4.329, 4.329 and 7.958 Å and the angles 90.00°, 90.00° and 90.00°. The distinct sites, in fractional coordinates, are Sc at (0.000, 0.000, 0.000), Al at (0.000, 0.000, 0.500) and As at (0.000, 0.500, 0.250).

***

Record 3
This record from Alexandria describes ScAlAs3 after structural relaxation. The functional is PBE-GGA.

Its raw total energy is -4.628 eV per atom. The density of states at the Fermi level is 4.8 states/eV per cell.

The structure belongs to space group Pm-3m (No. 221); the cell edges are 4.826, 4.826 and 4.826 Å and the angles 90.00°, 90.00° and 90.00°. The distinct sites, in fractional coordinates, are Sc at (0.000, 0.000, 0.000), Al at (0.500, 0.500, 0.500) and As at (0.000, 0.500, 0.500).

***

Record 4
This record from Alexandria describes Sc2AlAs after structural relaxation. The functional is PBE-GGA.

Its raw total energy is -5.495 eV per atom. The density of states at the Fermi level is 10.7 states/eV per cell.

The structure belongs to space group R3m (No. 160, hexagonal axes); the cell edges are 3.6380, 3.6380 and 23.8832 Å and the angles 90.00°, 90.00° and 120.00°. The distinct sites, in fractional coordinates, are Sc at (0.0000, 0.0000, 0.0000), Sc at (0.0000, 0.0000, 0.2278), Al at (0.0000, 0.0000, 0.7641) and As at (0.0000, 0.0000, 0.4878).

***

Record 5
This record from Alexandria describes ScAlAs2 after structural relaxation. The functional is PBE-GGA.

Its raw total energy is -5.545 eV per atom. The density of states at the Fermi level is 2.7 states/eV per cell.

The structure belongs to space group R-3m (No. 166, hexagonal axes); the cell edges are 3.8021, 3.8021 and 18.8531 Å and the angles 90.00°, 90.00° and 120.00°. The distinct sites, in fractional coordinates, are Sc at (0.0000, 0.0000, 0.0000), Al at (0.0000, 0.0000, 0.5000) and As at (0.0000, 0.0000, 0.2444).

***

Record 6
This record from Alexandria describes Sc4AlAs after structural relaxation. The functional is PBE-GGA.

Its raw total energy is -5.482 eV per atom. The density of states at the Fermi level is 25.5 states/eV per cell.

The structure belongs to space group F-43m (No. 216); the cell edges are 8.080, 8.080 and 8.080 Å and the angles 90.00°, 90.00° and 90.00°. The distinct sites, in fractional coordinates, are Sc at (0.124, 0.124, 0.124), Al at (0.250, 0.250, 0.750) and As at (0.000, 0.000, 0.500).

***

Record 7
This record from Alexandria describes ScAlAs2 after structural relaxation. The functional is PBE-GGA.

Its raw total energy is -5.076 eV per atom. The density of states at the Fermi level is 6.2 states/eV per cell.

The structure belongs to space group R3m (No. 160, hexagonal axes); the cell edges are 4.0797, 4.0797 and 19.1436 Å and the angles 90.00°, 90.00° and 120.00°. The distinct sites, in fractional coordinates, are Sc at (0.0000, 0.0000, 0.0000), Al at (0.0000, 0.0000, 0.7711), As at (0.0000, 0.0000, 0.2724) and As at (0.0000, 0.0000, 0.4771).

***

Record 8
This record from Alexandria describes Sc2AlAs after structural relaxation. The functional is PBE-GGA.

Its raw total energy is -5.376 eV per atom. The density of states at the Fermi level is 6.7 states/eV per cell.

The structure belongs to space group R-3m (No. 166, hexagonal axes); the cell edges are 3.2447, 3.2447 and 29.1521 Å and the angles 90.00°, 90.00° and 120.00°. The distinct sites, in fractional coordinates, are Sc at (0.0000, 0.0000, 0.0912), Al at (0.0000, 0.0000, 0.5000) and As at (0.0000, 0.0000, 0.0000).

***

Record 9
This record from Alexandria describes ScAlAs2 after structural relaxation. The functional is PBE-GGA.

Its raw total energy is -5.559 eV per atom. The density of states at the Fermi level is 1.1 states/eV per cell.

The structure belongs to space group Pm (No. 6); the cell edges are 3.784, 3.792 and 5.587 Å and the angles 90.00°, 90.05° and 90.00°. The distinct sites, in fractional coordinates, are Sc at (0.000, 0.000, 0.000), Al at (0.502, 0.500, 0.566), As at (0.001, 0.000, 0.504) and As at (0.500, 0.500, 0.031).

***

Record 10
This record from Alexandria describes Sc2AlAs after structural relaxation. The functional is PBE-GGA.

Its raw total energy is -5.627 eV per atom. The density of states at the Fermi level is 3.7 states/eV per cell.

The structure belongs to space group P4mm (No. 99); the cell edges are 3.400, 3.400 and 6.992 Å and the angles 90.00°, 90.00° and 90.00°. The distinct sites, in fractional coordinates, are Sc at (0.000, 0.000, 0.000), Sc at (0.500, 0.500, 0.317), Al at (0.000, 0.000, 0.575) and As at (0.500, 0.500, 0.753).

***

Record 11
This record from Alexandria describes ScAlAs2 after structural relaxation. The functional is PBE-GGA.

Its raw total energy is -5.201 eV per atom. The density of states at the Fermi level is 4.9 states/eV per cell.

The structure belongs to space group Cmmm (No. 65); the cell edges are 3.931, 5.412 and 7.235 Å and the angles 90.00°, 90.00° and 90.00°. The distinct sites, in fractional coordinates, are Sc at (0.000, 0.000, 0.000), Al at (0.000, 0.000, 0.500) and As at (0.000, 0.500, 0.257).

***

Record 12
This record from Alexandria describes ScAlAs2 after structural relaxation. The functional is PBE-GGA.

Its raw total energy is -5.510 eV per atom. The density of states at the Fermi level is 3.5 states/eV per cell.

The structure belongs to space group Cm (No. 8); the cell edges are 11.101, 3.656 and 3.866 Å and the angles 90.00°, 93.20° and 90.00°. The distinct sites, in fractional coordinates, are Sc at (0.000, 0.000, 0.000), Al at (0.230, 0.000, 0.537), As at (0.207, 0.500, 0.024) and As at (0.451, 0.000, 0.491).

***

Record 13
This record from Alexandria describes ScAl2As2 after structural relaxation. The functional is PBE-GGA.

Its raw total energy is -4.917 eV per atom. The density of states at the Fermi level is 3.4 states/eV per cell.

The structure belongs to space group I4/mmm (No. 139); the cell edges are 3.737, 3.737 and 13.884 Å and the angles 90.00°, 90.00° and 90.00°. The distinct sites, in fractional coordinates, are Sc at (0.000, 0.000, 0.000), Al at (0.000, 0.500, 0.250) and As at (0.000, 0.000, 0.405).

***

Record 14
This record from Alexandria describes ScAlAs2 after structural relaxation. The functional is PBE-GGA.

Its raw total energy is -5.397 eV per atom. The density of states at the Fermi level is 3.7 states/eV per cell.

The structure belongs to space group Imm2 (No. 44); the cell edges are 3.608, 3.682 and 11.847 Å and the angles 90.00°, 90.00° and 90.00°. The distinct sites, in fractional coordinates, are Sc at (0.000, 0.000, 0.000), Al at (0.000, 0.500, 0.747), As at (0.000, 0.000, 0.418) and As at (0.000, 0.500, 0.172).

***

Record 15
This record from Alexandria describes ScAlAs4 after structural relaxation. The functional is PBE-GGA.

Its raw total energy is -4.671 eV per atom. The density of states at the Fermi level is 18.7 states/eV per cell.

The structure belongs to space group F-43m (No. 216); the cell edges are 7.872, 7.872 and 7.872 Å and the angles 90.00°, 90.00° and 90.00°. The distinct sites, in fractional coordinates, are Sc at (0.000, 0.000, 0.000), Al at (0.250, 0.250, 0.750) and As at (0.124, 0.124, 0.376).

***

Record 16
This record from Alexandria describes Sc2AlAs2 after structural relaxation. The functional is PBE-GGA.

Its raw total energy is -5.802 eV per atom. The density of states at the Fermi level is 5.9 states/eV per cell.

The structure belongs to space group P4/mbm (No. 127); the cell edges are 7.446, 7.446 and 3.605 Å and the angles 90.00°, 90.00° and 90.00°. The distinct sites, in fractional coordinates, are Sc at (0.147, 0.353, 0.000), Al at (0.000, 0.000, 0.000) and As at (0.161, 0.661, 0.500).

***

Record 17
This record from Alexandria describes Sc2AlAs after structural relaxation. The functional is PBE-GGA.

Its raw total energy is -5.844 eV per atom. The density of states at the Fermi level is 7.3 states/eV per cell.

The structure belongs to space group Immm (No. 71); the cell edges are 4.015, 4.721 and 8.213 Å and the angles 90.00°, 90.00° and 90.00°. The distinct sites, in fractional coordinates, are Sc at (0.000, 0.000, 0.238), Al at (0.000, 0.500, 0.000) and As at (0.000, 0.500, 0.500).

***

Record 18
This record from Alexandria describes Sc2AlAs after structural relaxation. The functional is PBE-GGA.

Its raw total energy is -5.848 eV per atom. The density of states at the Fermi level is 6.2 states/eV per cell.

The structure belongs to space group C2/m (No. 12); the cell edges are 6.021, 7.818 and 3.292 Å and the angles 90.00°, 92.35° and 90.00°. The distinct sites, in fractional coordinates, are Sc at (0.250, 0.250, 0.000), Al at (0.000, 0.000, 0.500) and As at (0.000, 0.500, 0.500).

***

Record 19
This record from Alexandria describes Sc2AlAs2 after structural relaxation. The functional is PBE-GGA.

Its raw total energy is -5.979 eV per atom. The density of states at the Fermi level is 10.0 states/eV per cell.

The structure belongs to space group P4/mbm (No. 127); the cell edges are 7.257, 7.257 and 3.652 Å and the angles 90.00°, 90.00° and 90.00°. The distinct sites, in fractional coordinates, are Sc at (0.152, 0.348, 0.000), Al at (0.000, 0.000, 0.500) and As at (0.153, 0.653, 0.500).

***

Record 20
This record from Alexandria describes Sc2AlAs after structural relaxation. The functional is PBE-GGA.

Its raw total energy is -6.071 eV per atom. The density of states at the Fermi level is 6.1 states/eV per cell.

The structure belongs to space group Amm2 (No. 38); the cell edges are 3.801, 4.024 and 10.250 Å and the angles 90.00°, 90.00° and 90.00°. The distinct sites, in fractional coordinates, are Sc at (0.000, 0.000, 0.000), Sc at (0.500, 0.000, 0.281), Al at (0.000, 0.000, 0.728) and As at (0.500, 0.000, 0.555).

***

Record 21
This record from Alexandria describes ScAl3As after structural relaxation. The functional is PBE-GGA.

Its raw total energy is -3.340 eV per atom. The density of states at the Fermi level is 4.9 states/eV per cell.

The structure belongs to space group Pm-3m (No. 221); the cell edges are 5.229, 5.229 and 5.229 Å and the angles 90.00°, 90.00° and 90.00°. The distinct sites, in fractional coordinates, are Sc at (0.000, 0.000, 0.000), Al at (0.000, 0.000, 0.500) and As at (0.500, 0.500, 0.500).

***

Record 22
This record from Alexandria describes Sc2AlAs after structural relaxation. The functional is PBE-GGA.

Its raw total energy is -5.978 eV per atom. The density of states at the Fermi level is 3.0 states/eV per cell.

The structure belongs to space group C2/m (No. 12); the cell edges are 6.390, 3.686 and 7.689 Å and the angles 90.00°, 105.99° and 90.00°. The distinct sites, in fractional coordinates, are Sc at (0.239, 0.000, 0.217), Al at (0.000, 0.000, 0.500) and As at (0.000, 0.500, 0.000).

***

Record 23
This record from Alexandria describes Sc2AlAs after structural relaxation. The functional is PBE-GGA.

Its raw total energy is -5.844 eV per atom. The density of states at the Fermi level is 3.2 states/eV per cell.

The structure belongs to space group P4/mmm (No. 123); the cell edges are 4.415, 4.415 and 3.920 Å and the angles 90.00°, 90.00° and 90.00°. The distinct sites, in fractional coordinates, are Sc at (0.000, 0.500, 0.000), Al at (0.000, 0.000, 0.500) and As at (0.500, 0.500, 0.500).

***

Record 24
This record from Alexandria describes Sc2AlAs after structural relaxation. The functional is PBE-GGA.

Its raw total energy is -5.714 eV per atom. The density of states at the Fermi level is 9.2 states/eV per cell.

The structure belongs to space group I-42d (No. 122); the cell edges are 7.438, 7.438 and 6.143 Å and the angles 90.00°, 90.00° and 90.00°. The distinct sites, in fractional coordinates, are Sc at (0.231, 0.250, 0.125), Al at (0.000, 0.000, 0.500) and As at (0.000, 0.000, 0.000).

***

Record 25
This record from Alexandria describes ScAlAs2 after structural relaxation. The functional is PBE-GGA.

Its raw total energy is -5.038 eV per atom. The density of states at the Fermi level is 1.8 states/eV per cell.

The structure belongs to space group P4mm (No. 99); the cell edges are 3.105, 3.105 and 8.668 Å and the angles 90.00°, 90.00° and 90.00°. The distinct sites, in fractional coordinates, are Sc at (0.000, 0.000, 0.000), Al at (0.500, 0.500, 0.257), As at (0.000, 0.000, 0.434) and As at (0.500, 0.500, 0.791).

***

Record 26
This record from Alexandria describes Sc2AlAs after structural relaxation. The functional is PBE-GGA.

Its raw total energy is -5.938 eV per atom. The density of states at the Fermi level is 2.6 states/eV per cell.

The structure belongs to space group P4/mmm (No. 123); the cell edges are 3.532, 3.532 and 6.155 Å and the angles 90.00°, 90.00° and 90.00°. The distinct sites, in fractional coordinates, are Sc at (0.000, 0.000, 0.237), Al at (0.500, 0.500, 0.500) and As at (0.500, 0.500, 0.000).

***

Record 27
This record from Alexandria describes Sc2Al2As after structural relaxation. The functional is PBE-GGA.

Its raw total energy is -5.398 eV per atom. The density of states at the Fermi level is 5.9 states/eV per cell.

The structure belongs to space group P4/mbm (No. 127); the cell edges are 6.875, 6.875 and 4.172 Å and the angles 90.00°, 90.00° and 90.00°. The distinct sites, in fractional coordinates, are Sc at (0.167, 0.333, 0.000), Al at (0.132, 0.632, 0.500) and As at (0.000, 0.000, 0.500).

***

Record 28
This record from Alexandria describes ScAlAs2 after structural relaxation. The functional is PBE-GGA.

Its raw total energy is -4.874 eV per atom. The density of states at the Fermi level is 14.3 states/eV per cell.

The structure belongs to space group F-43m (No. 216); the cell edges are 6.799, 6.799 and 6.799 Å and the angles 90.00°, 90.00° and 90.00°. The distinct sites, in fractional coordinates, are Sc at (0.000, 0.000, 0.000), Al at (0.250, 0.250, 0.250), As at (0.000, 0.000, 0.500) and As at (0.250, 0.250, 0.750).

***

Record 29
This record from Alexandria describes Sc2Al2As after structural relaxation. The functional is PBE-GGA.

Its raw total energy is -5.392 eV per atom. The density of states at the Fermi level is 8.6 states/eV per cell.

The structure belongs to space group P4/mbm (No. 127); the cell edges are 6.945, 6.945 and 4.394 Å and the angles 90.00°, 90.00° and 90.00°. The distinct sites, in fractional coordinates, are Sc at (0.163, 0.337, 0.000), Al at (0.137, 0.637, 0.500) and As at (0.000, 0.000, 0.000).